*A*
{
  "formula": "PrScIn",
  "functional": "PBE",
  "state": "optimized geometry",
  "lattice_angstrom": [[0.000, 3.650, 3.650], [3.650, 0.000, 3.650], [3.650, 3.650, 0.000]],
  "species": ["Pr", "Sc", "In"],
  "fractional_positions": [[0.000, 0.000, 0.000], [0.250, 0.250, 0.250], [0.750, 0.750, 0.750]],
  "space_group": "No. 216",
  "crystal_system": "cubic",
  "vol_a3_per_atom": 32.4
}

***

*B*
{
  "formula": "PrScIn",
  "functional": "PBE",
  "state": "optimized geometry",
  "lattice_angstrom": [[0.000, 3.634, 3.634], [3.634, 0.000, 3.634], [3.634, 3.634, 0.000]],
  "species": ["Pr", "Sc", "In"],
  "fractional_positions": [[0.000, 0.000, 0.000], [0.500, 0.500, 0.500], [0.250, 0.250, 0.250]],
  "space_group": "No. 216",
  "crystal_system": "cubic",
  "vol_a3_per_atom": 32.0
}

***

Relative energies in kJ/mol of atoms: *A* 44.3; *B* 0.0

***

*A*
{
  "formula": "PrInSnTe3",
  "functional": "PBE",
  "state": "optimized geometry",
  "lattice_angstrom": [[2.269, -7.532, 0.000], [2.269, 7.532, 0.000], [0.000, 0.000, 11.123]],
  "species": ["Pr", "Pr", "In", "In", "Sn", "Sn", "Te", "Te", "Te", "Te", "Te", "Te"],
  "fractional_positions": [[0.000, 0.000, 0.000], [0.000, 0.000, 0.500], [0.477, 0.523, 0.750], [0.523, 0.477, 0.250], [0.226, 0.774, 0.250], [0.774, 0.226, 0.750], [0.119, 0.881, 0.750], [0.348, 0.652, 0.543], [0.348, 0.652, 0.957], [0.652, 0.348, 0.043], [0.652, 0.348, 0.457], [0.881, 0.119, 0.250]],
  "space_group": "No. 63",
  "crystal_system": "orthorhombic",
  "vol_a3_per_atom": 31.7
}

***

*B*
{
  "formula": "PrInSnTe3",
  "functional": "PBE",
  "state": "optimized geometry",
  "lattice_angstrom": [[2.432, -7.418, 0.000], [2.432, 7.418, 0.000], [0.000, 0.000, 11.692]],
  "species": ["Pr", "Pr", "In", "In", "Sn", "Sn", "Te", "Te", "Te", "Te", "Te", "Te"],
  "fractional_positions": [[0.000, 0.000, 0.000], [0.000, 0.000, 0.500], [0.243, 0.757, 0.750], [0.757, 0.243, 0.250], [0.478, 0.522, 0.250], [0.522, 0.478, 0.750], [0.105, 0.895, 0.250], [0.356, 0.644, 0.044], [0.356, 0.644, 0.456], [0.644, 0.356, 0.544], [0.644, 0.356, 0.956], [0.895, 0.105, 0.750]],
  "space_group": "No. 63",
  "crystal_system": "orthorhombic",
  "vol_a3_per_atom": 35.2
}

***

Relative energies in kJ/mol of atoms: *A* 2.2; *B* 0.0